{"formula": "Rb3AgF8", "functional": "PBE-GGA", "state": "relaxed", "crystal_system": "hexagonal", "dos_at_fermi_per_ev_atom": 1.16, "e_tot_ev_per_atom": -3.513, "spacegroup": "P6_3mc, No. 186", "lattice_angstrom": [[-3.962, -5.539, -3.039], [6.360, -5.367, 1.491], [-6.033, 1.125, 5.815]], "species": ["F", "F", "F", "F", "F", "F", "F", "F", "F", "F", "F", "F", "F", "F", "F", "F", "Rb", "Rb", "Rb", "Rb", "Rb", "Rb", "Ag", "Ag"], "fractional_positions": [[0.012, 0.445, 0.891], [0.803, 0.782, 0.218], [0.012, 0.445, 0.555], [0.943, 0.000, 0.000], [0.512, 0.555, 0.445], [0.303, 0.563, 0.782], [0.303, 0.218, 0.782], [0.443, 0.000, 0.000], [0.512, 0.555, 0.109], [0.303, 0.218, 0.437], [0.803, 0.782, 0.563], [0.152, 0.667, 0.333], [0.652, 0.333, 0.667], [0.512, 0.891, 0.445], [0.012, 0.109, 0.555], [0.803, 0.437, 0.218], [0.190, 0.844, 0.156], [0.690, 0.156, 0.312], [0.190, 0.844, 0.688], [0.190, 0.312, 0.156], [0.690, 0.688, 0.844], [0.690, 0.156, 0.844], [0.661, 0.667, 0.333], [0.161, 0.333, 0.667]]}